(1)
Computed, not measured: Cr2CuPb after structural relaxation at the PBE-GGA level of DFT.

Energy relative to the elements   14.84 kcal/mol of atoms
ρ   9.6 g cm⁻³
E_tot   -24.48 eV for the cell shown

abc: 3.345 3.345 5.814
angles: 90.00 90.00 90.00
Sites, in units of the cell vectors:
Cr1 0.000 0.000 0.083
Cr2 0.000 0.000 0.417
Cu1 0.500 0.500 0.250
Pb1 0.500 0.500 0.750



(2)
Computed, not measured: ZrAlI after structural relaxation at the PBE-GGA level of DFT.

Energy relative to the elements, uncorrected   -0.45 eV/atom
ρ   4.5 g cm⁻³
E_tot   -30.39 eV for the cell shown

abc: 3.963 3.970 11.519
angles: 90.05 92.14 90.00
Sites, in units of the cell vectors:
I1 0.674 0.229 0.020
I2 0.746 0.733 0.671
Al1 0.702 0.732 0.277
Al2 0.217 0.732 0.413
Zr1 0.724 0.232 0.476
Zr2 0.195 0.232 0.213



(3)
Computed, not measured: Pr5DyEr2Th after structural relaxation at the PBE-GGA level of DFT.

Energy relative to the elements   3.26 kcal/mol of atoms
ρ   7.5 g cm⁻³
E_tot   -87.55 eV for the cell shown

abc: 5.443 11.200 10.672
angles: 90.00 90.00 104.06
Sites, in units of the cell vectors:
Pr1 0.374 0.748 0.008
Pr2 0.722 0.444 0.815
Pr3 0.500 0.000 0.758
Pr4 0.278 0.556 0.701
Pr5 0.002 0.005 0.508
Pr6 0.626 0.252 0.508
Pr7 0.278 0.556 0.315
Pr8 0.500 0.000 0.258
Pr9 0.722 0.444 0.201
Pr10 0.998 0.995 0.008
Dy1 0.602 0.203 0.008
Dy2 0.398 0.797 0.508
Er1 0.887 0.775 0.753
Er2 0.113 0.225 0.764
Er3 0.113 0.225 0.253
Er4 0.887 0.775 0.264
Th1 0.787 0.575 0.508
Th2 0.213 0.425 0.008



(4)
Computed, not measured: Al2SnPb2 after structural relaxation at the PBE-GGA level of DFT.

Energy relative to the elements   4.71 kcal/mol of atoms
Offset from the most stable computed form   0.0 meV/atom
ρ   7.3 g cm⁻³
E_tot   -17.88 eV for the cell shown

abc: 3.821 3.821 9.592
angles: 78.51 78.51 90.00
Sites, in units of the cell vectors:
Pb1 0.387 0.387 0.226
Pb2 0.613 0.613 0.774
Sn1 0.000 0.000 0.000
Al1 0.750 0.250 0.500
Al2 0.250 0.750 0.500



(5)
Computed, not measured: La4I5N after structural relaxation at the PBE-GGA level of DFT.

Energy relative to the elements, uncorrected   -1.39 eV/atom
ρ   5.7 g cm⁻³
E_tot   -49.65 eV for the cell shown

abc: 4.138 8.977 9.954
angles: 102.67 102.00 90.00
Sites, in units of the cell vectors:
La1 0.632 0.066 0.263
La2 0.998 0.193 0.997
La3 0.368 0.934 0.737
La4 0.002 0.807 0.003
I1 0.165 0.347 0.330
I2 0.172 0.818 0.344
I3 0.828 0.182 0.656
I4 0.500 0.500 0.000
I5 0.835 0.653 0.670
N1 0.500 0.000 0.000



(6)
Computed, not measured: Cs2Rb2Mg after structural relaxation at the PBE-GGA level of DFT.

Energy relative to the elements   4.81 kcal/mol of atoms
Offset from the most stable computed form   29.8 meV/atom
ρ   1.7 g cm⁻³
E_tot   -8.39 eV for the cell shown

abc: 10.579 10.579 7.894
angles: 90.00 90.00 90.00
Sites, in units of the cell vectors:
Cs1 0.846 0.346 0.000
Cs2 0.654 0.846 0.000
Cs3 0.154 0.654 0.000
Cs4 0.346 0.154 0.000
Rb1 0.677 0.177 0.500
Rb2 0.823 0.677 0.500
Rb3 0.323 0.823 0.500
Rb4 0.177 0.323 0.500
Mg1 0.000 0.000 0.000
Mg2 0.500 0.500 0.000



- Which value of E_tot does entry 3 give?
  -87.55 eV for the cell shown